A plane-wave DFT calculation with PBE was carried out for a geometry-optimized CsRbAuCl structure.

The structure belongs to space group F-43m (No. 216); the cell edges are 8.4433, 8.4433 and 8.4433 Å and the angles 90.00°, 90.00° and 90.00°. Symmetry generates all atoms from Cs at (0.0000, 0.0000, 0.0000), Rb at (0.0000, 0.0000, 0.5000), Au at (0.2500, 0.2500, 0.2500) and Cl at (0.2500, 0.2500, 0.7500).

For the spin magnetization, the calculation gives 0.00 μB per formula unit. Its energy above the most stable polymorph in this dataset is 0.052 eV per atom. As for the total energy: -2.799 eV per atom. Its uncorrected formation energy is -1.063 eV/atom.


A plane-wave DFT calculation with PBE was carried out for a geometry-optimized Cs6Rb2AuCl structure.

The structure belongs to space group Cm (No. 8); the cell edges are 14.7258, 14.7281 and 10.4148 Å and the angles 90.00°, 134.93° and 90.00°. Symmetry generates all atoms from Cs at (0.0000, 0.0000, 0.0000), Cs at (0.9996, 0.0000, 0.4925), Cs at (0.2462, 0.2461, 0.4924), Cs at (0.4915, 0.0000, 0.4924), Cs at (0.4925, 0.0000, 0.9849), Rb at (0.2469, 0.2501, 0.9924), Au at (0.2455, 0.5000, 0.4925) and Cl at (0.2450, 0.0000, 0.4924).

For the spin magnetization, the calculation gives 0.02 μB per formula unit. As for the total energy: -1.697 eV per atom. Its uncorrected formation energy is -0.479 eV/atom.


A plane-wave DFT calculation with PBE was carried out for a geometry-optimized CsRb2AuCl structure.

The structure belongs to space group Cmcm (No. 63); the cell edges are 5.1482, 20.5541 and 9.4664 Å and the angles 90.00°, 90.00° and 90.00°. Symmetry generates all atoms from Cs at (0.0000, 0.0135, 0.2500), Rb at (0.0000, 0.3351, 0.0022), Au at (0.0000, 0.1947, 0.2500) and Cl at (0.0000, 0.5000, 0.0000).

For the spin magnetization, the calculation gives 0.44 μB per formula unit. Its energy above the most stable polymorph in this dataset is 0.000 eV per atom. As for the total energy: -2.445 eV per atom. Its uncorrected formation energy is -0.863 eV/atom.


A plane-wave DFT calculation with PBE was carried out for a geometry-optimized CsRb2AuCl structure.

The structure belongs to space group P4/mmm (No. 123); the cell edges are 6.2673, 6.2673 and 6.6821 Å and the angles 90.00°, 90.00° and 90.00°. Symmetry generates all atoms from Cs at (0.0000, 0.0000, 0.0000), Rb at (0.0000, 0.5000, 0.5000), Au at (0.5000, 0.5000, 0.0000) and Cl at (0.0000, 0.0000, 0.5000).

For the spin magnetization, the calculation gives 0.00 μB per formula unit. Its energy above the most stable polymorph in this dataset is 0.123 eV per atom. As for the total energy: -2.323 eV per atom. Its uncorrected formation energy is -0.740 eV/atom.


A plane-wave DFT calculation with PBE was carried out for a geometry-optimized CsRb2AuCl6 structure.

The structure belongs to space group I4/mmm (No. 139); the cell edges are 8.2540, 8.2540 and 11.0028 Å and the angles 90.00°, 90.00° and 90.00°. Symmetry generates all atoms from Cs at (0.0000, 0.0000, 0.0000), Rb at (0.0000, 0.5000, 0.2500), Au at (0.0000, 0.0000, 0.5000), Cl at (0.0000, 0.0000, 0.2890) and Cl at (0.2262, 0.2262, 0.5000).

For the spin magnetization, the calculation gives 0.00 μB per formula unit. As for the total energy: -2.879 eV per atom. Its uncorrected formation energy is -1.164 eV/atom.


A plane-wave DFT calculation with PBE was carried out for a geometry-optimized Cs2RbAuCl structure.

The structure belongs to space group P4/mmm (No. 123); the cell edges are 6.6536, 6.6536 and 6.2628 Å and the angles 90.00°, 90.00° and 90.00°. Symmetry generates all atoms from Cs at (0.0000, 0.5000, 0.0000), Rb at (0.0000, 0.0000, 0.5000), Au at (0.5000, 0.5000, 0.5000) and Cl at (0.0000, 0.0000, 0.0000).

For the spin magnetization, the calculation gives 0.00 μB per formula unit. Its energy above the most stable polymorph in this dataset is 0.106 eV per atom. As for the total energy: -2.307 eV per atom. Its uncorrected formation energy is -0.747 eV/atom.